CeCrSO2 PBE with a Hubbard U optimized geometry; energy = -7.655 eV per atom
1.0
2.673 -5.702 0.000
2.673 5.702 0.000
0.000 0.000 5.339
Ce Cr S O
2 2 2 4
Direct
0.118 0.882 0.750 Ce
0.882 0.118 0.250 Ce
0.446 0.554 0.750 Cr
0.554 0.446 0.250 Cr
0.253 0.747 0.250 S
0.747 0.253 0.750 S
0.243 0.243 0.000 O
0.243 0.243 0.500 O
0.757 0.757 0.000 O
0.757 0.757 0.500 O